Record 1
{"formula": "Rh3AuO", "functional": "PBE", "state": "optimized geometry", "raw_formation_energy_ev_per_atom": 2.16, "volume_a3_per_atom": 24.1, "space_group": "Pm-3m (221)", "cell": [[-4.1062, 2.3348, 1.4468], [-0.6236, -3.3266, 3.5986], [2.6750, 2.8085, 3.0597]], "species": ["Rh", "Rh", "Rh", "Au", "O"], "frac_coords": [[0.0000, 0.5000, 0.0000], [0.0000, 0.0000, 0.5000], [0.5000, 0.0000, 0.0000], [0.0000, 0.0000, 0.0000], [0.5000, 0.5000, 0.5000]]}

Record 2
{"formula": "Sm8HIr3I4", "functional": "PBE", "state": "optimized geometry", "volume_a3_per_atom": 29.5, "space_group": "R-3m (166)", "energy_ev_per_atom": -5.476, "cell": [[-1.6421, 6.3782, -4.9657], [-8.4714, -3.5049, -1.7005], [1.8768, 1.3185, 7.9236]], "species": ["Sm", "Sm", "Sm", "Sm", "Sm", "Sm", "Sm", "Sm", "H", "Ir", "Ir", "Ir", "I", "I", "I", "I"], "frac_coords": [[0.2292, 0.6833, 0.9542], [0.2294, 0.6836, 0.4589], [0.2717, 0.3150, 0.5434], [0.7249, 0.6833, 0.9542], [0.2751, 0.3167, 0.0458], [0.7283, 0.6850, 0.4566], [0.7706, 0.3164, 0.5411], [0.7708, 0.3167, 0.0458], [0.0000, 0.5000, 0.0000], [0.5000, 0.5000, 0.0000], [0.5000, 0.5000, 0.5000], [0.0000, 0.5000, 0.5000], [0.5000, 0.0000, 0.0000], [0.5000, 0.0000, 0.5000], [0.0000, 0.0000, 0.0000], [0.0000, 0.0000, 0.5000]]}

Record 3
{"formula": "MnZnFe3", "functional": "PBE", "state": "optimized geometry", "e_form_ev_per_atom": 0.349, "volume_a3_per_atom": 14.1, "space_group": "C222_1 (20)", "cell": [[4.3010, -0.0003, -0.0001], [-0.0005, 5.7326, 3.6008], [-0.0007, 1.4148, 6.6191]], "species": ["Mn", "Mn", "Zn", "Zn", "Fe", "Fe", "Fe", "Fe", "Fe", "Fe"], "frac_coords": [[0.2501, 0.8658, 0.8659], [0.7501, 0.1341, 0.1341], [0.9998, 0.3549, 0.6450], [0.4998, 0.6451, 0.3549], [0.2501, 0.3269, 0.3269], [0.7500, 0.6730, 0.6731], [0.2446, 0.9108, 0.4400], [0.7555, 0.5600, 0.0893], [0.7446, 0.0891, 0.5600], [0.2555, 0.4400, 0.9107]]}

Record 4
{"formula": "NdGd2Dy", "functional": "PBE", "state": "optimized geometry", "e_form_ev_per_atom": 0.020, "volume_a3_per_atom": 32.8, "space_group": "P4/mmm (123)", "cell": [[5.0944, 0.0000, 0.0000], [0.0000, 5.0764, 0.0000], [0.0000, 0.0000, 5.0764]], "species": ["Gd", "Gd", "Nd", "Dy"], "frac_coords": [[0.0000, 0.0000, 0.5000], [0.0000, 0.5000, 0.0000], [0.5000, 0.0000, 0.0000], [0.5000, 0.5000, 0.5000]]}

Record 5
{"formula": "ZnAg2P", "functional": "PBE", "state": "optimized geometry", "e_form_ev_per_atom": 0.173, "volume_a3_per_atom": 17.0, "space_group": "Pm (6)", "cell": [[4.0783, 0.0000, 0.0000], [0.0000, 3.0095, -0.0389], [0.0000, 0.4192, 5.5458]], "species": ["Zn", "Ag", "Ag", "P"], "frac_coords": [[0.5000, 0.4756, 0.7555], [0.0000, 0.9437, 0.9834], [0.5000, 0.4150, 0.2438], [0.0000, 0.6656, 0.5173]]}

Record 6
{"formula": "Cs2TaAuF6", "functional": "PBE", "state": "optimized geometry", "raw_formation_energy_ev_per_atom": -2.56, "volume_a3_per_atom": 28.0, "space_group": "Fm-3m (225)", "cell": [[7.3445, 0.0000, 0.0000], [0.0000, 7.3445, 0.0000], [3.6723, 3.6723, 5.1931]], "species": ["Cs", "Cs", "F", "F", "F", "F", "F", "F", "Au", "Ta"], "frac_coords": [[0.7500, 0.2500, 0.5000], [0.2500, 0.7500, 0.5000], [0.3147, 0.3147, 0.3706], [0.6853, 0.6853, 0.6294], [0.3147, 0.3147, 0.0000], [0.6853, 0.6853, 0.0000], [0.6853, 0.3147, 0.0000], [0.3147, 0.6853, 0.0000], [0.0000, 0.0000, 0.0000], [0.5000, 0.5000, 0.0000]]}

Record 7
{"formula": "Na2SrMoRh", "functional": "PBE", "state": "optimized geometry", "e_form_ev_per_atom": 1.657, "volume_a3_per_atom": 35.3, "space_group": "P4/mmm (123)", "cell": [[-2.0505, -1.2821, 4.8397], [5.0518, -3.0186, 1.3408], [2.1356, 4.5062, 2.0986]], "species": ["Sr", "Mo", "Rh", "Na", "Na"], "frac_coords": [[0.0000, 0.5000, 0.0000], [0.0000, 0.0000, 0.0000], [0.5000, 0.5000, 0.5000], [0.0000, 0.0000, 0.5000], [0.5000, 0.0000, 0.0000]]}

Record 8
{"formula": "Rb2MgSnI6", "functional": "PBE", "state": "optimized geometry", "raw_formation_energy_ev_per_atom": -1.01, "volume_a3_per_atom": 44.8, "space_group": "Fm-3m (225)", "cell": [[8.5871, 0.0000, 0.0000], [0.0000, 8.5871, 0.0000], [4.2935, 4.2935, 6.0725]], "species": ["I", "I", "I", "I", "I", "I", "Mg", "Sn", "Rb", "Rb"], "frac_coords": [[0.2584, 0.2584, 0.4831], [0.7416, 0.7416, 0.5169], [0.2584, 0.2584, 0.0000], [0.7416, 0.7416, 0.0000], [0.7416, 0.2584, 0.0000], [0.2584, 0.7416, 0.0000], [0.5000, 0.5000, 0.0000], [0.0000, 0.0000, 0.0000], [0.7500, 0.2500, 0.5000], [0.2500, 0.7500, 0.5000]]}

Record 9
{"formula": "PmZrS3", "functional": "PBE", "state": "optimized geometry", "raw_formation_energy_ev_per_atom": -1.79, "volume_a3_per_atom": 20.9, "space_group": "Pnma (62)", "cell": [[-1.4522, 3.2580, 1.3844], [-3.2664, 1.1539, -6.1418], [-12.4357, -7.7359, 5.1602]], "species": ["Pm", "Pm", "Pm", "Pm", "Zr", "Zr", "Zr", "Zr", "S", "S", "S", "S", "S", "S", "S", "S", "S", "S", "S", "S"], "frac_coords": [[0.7500, 0.8737, 0.8091], [0.2500, 0.1263, 0.1909], [0.7500, 0.3737, 0.6909], [0.2500, 0.6263, 0.3091], [0.2500, 0.2619, 0.9557], [0.2500, 0.7619, 0.5443], [0.7500, 0.2381, 0.4557], [0.7500, 0.7381, 0.0443], [0.2500, 0.3794, 0.5581], [0.7500, 0.8292, 0.2114], [0.7500, 0.4969, 0.9050], [0.7500, 0.9969, 0.5950], [0.7500, 0.6206, 0.4419], [0.2500, 0.0031, 0.4050], [0.2500, 0.8794, 0.9419], [0.7500, 0.3292, 0.2886], [0.2500, 0.6708, 0.7114], [0.2500, 0.1708, 0.7886], [0.7500, 0.1206, 0.0581], [0.2500, 0.5031, 0.0950]]}

Record 10
{"formula": "Tb12PrIn6", "functional": "PBE", "state": "optimized geometry", "e_form_ev_per_atom": -0.055, "volume_a3_per_atom": 33.2, "space_group": "R-3m (166)", "cell": [[8.8626, 0.0873, 0.1230], [-2.1123, 8.6076, 0.1230], [-2.1123, -2.7209, 8.1672]], "species": ["Tb", "Tb", "Tb", "Tb", "Tb", "Tb", "Tb", "Tb", "Tb", "Tb", "Tb", "Tb", "Pr", "In", "In", "In", "In", "In", "In"], "frac_coords": [[0.8797, 0.1203, 0.5000], [0.8223, 0.5553, 0.5553], [0.5553, 0.5553, 0.8223], [0.4447, 0.1777, 0.4447], [0.4447, 0.4447, 0.1777], [0.1777, 0.4447, 0.4447], [0.1203, 0.5000, 0.8797], [0.5000, 0.8797, 0.1203], [0.1203, 0.8797, 0.5000], [0.8797, 0.5000, 0.1203], [0.5000, 0.1203, 0.8797], [0.5553, 0.8223, 0.5553], [0.0000, 0.0000, 0.0000], [0.7046, 0.2453, 0.2453], [0.2453, 0.2453, 0.7046], [0.2453, 0.7046, 0.2453], [0.7547, 0.7547, 0.2954], [0.2954, 0.7547, 0.7547], [0.7547, 0.2954, 0.7547]]}

What did the third record say?
{"formula": "MnZnFe3", "functional": "PBE", "state": "optimized geometry", "e_form_ev_per_atom": 0.349, "volume_a3_per_atom": 14.1, "space_group": "C222_1 (20)", "cell": [[4.3010, -0.0003, -0.0001], [-0.0005, 5.7326, 3.6008], [-0.0007, 1.4148, 6.6191]], "species": ["Mn", "Mn", "Zn", "Zn", "Fe", "Fe", "Fe", "Fe", "Fe", "Fe"], "frac_coords": [[0.2501, 0.8658, 0.8659], [0.7501, 0.1341, 0.1341], [0.9998, 0.3549, 0.6450], [0.4998, 0.6451, 0.3549], [0.2501, 0.3269, 0.3269], [0.7500, 0.6730, 0.6731], [0.2446, 0.9108, 0.4400], [0.7555, 0.5600, 0.0893], [0.7446, 0.0891, 0.5600], [0.2555, 0.4400, 0.9107]]}